! KY2Hg (PBE, optimized geometry); values from VASP
! Space-group type ... P4/mmm
! DFT total energy ... -0.244 Ry/atom
! Energy of formation from the pure elements ... 1.0 eV per formula unit
! Total moment ... 0.000 μB/cell
&SYSTEM
  ibrav = 0, nat = 4, ntyp = 3
/
ATOMIC_SPECIES
Y 88.91 Y.upf
K 39.10 K.upf
Hg 200.59 Hg.upf
CELL_PARAMETERS angstrom
-1.6907 -4.9001 1.0287
2.1757 -1.6992 -4.5063
3.7044 -0.8364 2.1039
ATOMIC_POSITIONS crystal
Y 0.5000 0.5000 0.0000
Y 0.0000 0.0000 0.0000
K 0.0000 0.5000 0.5000
Hg 0.5000 0.0000 0.5000

***

! Tb5ThHg6 (PBE, optimized geometry); values from VASP
! Space-group type ... Immm
! DFT total energy ... -0.230 Ry/atom
! Energy of formation from the pure elements ... -5.1 eV per formula unit
! Total moment ... 2.217 μB/cell
&SYSTEM
  ibrav = 0, nat = 12, ntyp = 3
/
ATOMIC_SPECIES
Hg 200.59 Hg.upf
Tb 158.93 Tb.upf
Th 232.04 Th.upf
CELL_PARAMETERS angstrom
5.0675 0.0214 -1.4788
-1.0397 6.6560 -3.4660
-0.0809 0.4409 9.1507
ATOMIC_POSITIONS crystal
Hg 0.5000 0.2692 0.0000
Hg 0.1708 0.4318 0.3416
Hg 0.8292 0.0902 0.6584
Hg 0.1708 0.9098 0.3416
Hg 0.8292 0.5682 0.6584
Hg 0.5000 0.7308 0.0000
Tb 0.6589 0.1589 0.3178
Tb 0.6710 0.6710 0.3421
Tb 0.3411 0.8411 0.6822
Tb 0.0000 0.5000 0.0000
Tb 0.3290 0.3290 0.6579
Th 0.0000 0.0000 0.0000

***

! Tb3Si2SnPd9 (PBE, optimized geometry); values from VASP
! Space-group type ... P-3m1
! DFT total energy ... -0.416 Ry/atom
! Total moment ... 0.000 μB/cell
&SYSTEM
  ibrav = 0, nat = 15, ntyp = 4
/
ATOMIC_SPECIES
Pd 106.42 Pd.upf
Sn 118.71 Sn.upf
Tb 158.93 Tb.upf
Si 28.09 Si.upf
CELL_PARAMETERS angstrom
6.3258 0.0000 0.0000
-3.1629 5.4783 0.0000
0.0000 0.0000 9.2765
ATOMIC_POSITIONS crystal
Pd 0.7085 0.8542 0.2699
Pd 0.5000 0.0000 0.0000
Pd 0.8542 0.7085 0.7301
Pd 0.2915 0.1458 0.7301
Pd 0.0000 0.5000 0.0000
Pd 0.5000 0.5000 0.0000
Pd 0.1458 0.2915 0.2699
Pd 0.1458 0.8542 0.2699
Pd 0.8542 0.1458 0.7301
Sn 0.0000 0.0000 0.5000
Tb 0.0000 0.0000 0.0000
Tb 0.6667 0.3333 0.2692
Tb 0.3333 0.6667 0.7308
Si 0.6667 0.3333 0.8318
Si 0.3333 0.6667 0.1682

***

! BeHgPb2 (PBE, optimized geometry); values from VASP
! Space-group type ... Fm-3m
! DFT total energy ... -0.173 Ry/atom
! Energy of formation from the pure elements ... 2.0 eV per formula unit
! Energy above the lowest structure with this stoichiometry ... 190 meV/atom
! Total moment ... 0.000 μB/cell
&SYSTEM
  ibrav = 0, nat = 4, ntyp = 3
/
ATOMIC_SPECIES
Be 9.01 Be.upf
Hg 200.59 Hg.upf
Pb 207.20 Pb.upf
CELL_PARAMETERS angstrom
1.5341 -1.3007 4.8212
-3.5498 -0.7344 3.7616
-0.9158 -4.8086 1.8243
ATOMIC_POSITIONS crystal
Be 0.0000 0.0000 0.0000
Hg 0.5000 0.5000 0.5000
Pb 0.2500 0.2500 0.2500
Pb 0.7500 0.7500 0.7500

***

! DyIn7Hg12 (PBE, optimized geometry); values from VASP
! Space-group type ... R-3
! DFT total energy ... -0.103 Ry/atom
! Energy of formation from the pure elements ... -0.8 eV per formula unit
! Total moment ... 0.000 μB/cell
&SYSTEM
  ibrav = 0, nat = 20, ntyp = 3
/
ATOMIC_SPECIES
In 114.82 In.upf
Dy 162.50 Dy.upf
Hg 200.59 Hg.upf
CELL_PARAMETERS angstrom
8.2811 -0.2021 -1.9167
-2.3666 7.9383 -1.9167
-0.1545 -0.2021 8.4986
ATOMIC_POSITIONS crystal
In 0.1150 0.2322 0.4046
In 0.5000 0.5000 0.5000
In 0.4046 0.1150 0.2322
In 0.5954 0.8850 0.7678
In 0.7678 0.5954 0.8850
In 0.2322 0.4046 0.1150
In 0.8850 0.7678 0.5954
Dy 0.0000 0.0000 0.0000
Hg 0.8889 0.8290 0.2691
Hg 0.6213 0.4424 0.1463
Hg 0.1710 0.7309 0.1111
Hg 0.2691 0.8889 0.8290
Hg 0.7309 0.1111 0.1710
Hg 0.8290 0.2691 0.8889
Hg 0.5576 0.8537 0.3787
Hg 0.1111 0.1710 0.7309
Hg 0.1463 0.6213 0.4424
Hg 0.4424 0.1463 0.6213
Hg 0.8537 0.3787 0.5576
Hg 0.3787 0.5576 0.8537

***

! LiPrCuGe2 (PBE, optimized geometry); values from VASP
! Space-group type ... I-4m2
! DFT total energy ... -0.337 Ry/atom
! Energy of formation from the pure elements ... -2.9 eV per formula unit
! Total moment ... 0.000 μB/cell
&SYSTEM
  ibrav = 0, nat = 5, ntyp = 4
/
ATOMIC_SPECIES
Pr 140.91 Pr.upf
Ge 72.64 Ge.upf
Li 6.94 Li.upf
Cu 63.55 Cu.upf
CELL_PARAMETERS angstrom
4.1845 0.0000 0.0000
0.0000 4.1845 0.0000
-2.0922 -2.0922 5.2690
ATOMIC_POSITIONS crystal
Pr 0.0000 0.0000 0.0000
Ge 0.6200 0.6200 0.2400
Ge 0.3800 0.3800 0.7600
Li 0.7500 0.2500 0.5000
Cu 0.2500 0.7500 0.5000

***

! MnCS2N (PBE, optimized geometry); values from VASP
! Space-group type ... P4/mmm
! DFT total energy ... -0.455 Ry/atom
! Energy above the lowest structure with this stoichiometry ... 0 meV/atom
! Total moment ... 4.469 μB/cell
&SYSTEM
  ibrav = 0, nat = 5, ntyp = 4
/
ATOMIC_SPECIES
N 14.01 N.upf
S 32.06 S.upf
C 12.01 C.upf
Mn 54.94 Mn.upf
CELL_PARAMETERS angstrom
-0.8092 1.7897 5.1061
-5.4008 -0.5783 -0.6532
0.1470 -2.3162 0.8351
ATOMIC_POSITIONS crystal
N 0.0000 0.0000 0.5000
S 0.0000 0.5000 0.0000
S 0.5000 0.0000 0.0000
C 0.0000 0.0000 0.0000
Mn 0.5000 0.5000 0.5000

***

! CeYI6 (PBE, optimized geometry); values from VASP
! Space-group type ... R-3
! DFT total energy ... -0.296 Ry/atom
! Total moment ... 1.000 μB/cell
&SYSTEM
  ibrav = 0, nat = 8, ntyp = 3
/
ATOMIC_SPECIES
Ce 140.12 Ce.upf
I 126.90 I.upf
Y 88.91 Y.upf
CELL_PARAMETERS angstrom
7.7407 0.0103 0.0096
3.8615 6.7069 0.0142
3.8595 2.2294 7.0584
ATOMIC_POSITIONS crystal
Ce 0.0000 0.0000 0.0000
I 0.5850 0.2559 0.2547
I 0.0956 0.4151 0.7452
I 0.2561 0.9045 0.2545
I 0.9044 0.5849 0.2548
I 0.4150 0.7441 0.7453
I 0.7439 0.0955 0.7455
Y 0.5000 0.5000 0.5000

***

! Pu2TlCu (PBE, optimized geometry); values from VASP
! Space-group type ... P4/mmm
! DFT total energy ... -0.642 Ry/atom
! Energy of formation from the pure elements ... 0.2 eV per formula unit
! Energy above the lowest structure with this stoichiometry ... 0 meV/atom
! Total moment ... 11.454 μB/cell
&SYSTEM
  ibrav = 0, nat = 4, ntyp = 3
/
ATOMIC_SPECIES
Pu 244.00 Pu.upf
Cu 63.55 Cu.upf
Tl 204.38 Tl.upf
CELL_PARAMETERS angstrom
3.2432 0.0000 0.0000
0.0000 3.2432 0.0000
0.0000 0.0000 8.9481
ATOMIC_POSITIONS crystal
Pu 0.0000 0.0000 0.7812
Pu 0.0000 0.0000 0.2188
Cu 0.5000 0.5000 0.0000
Tl 0.5000 0.5000 0.5000

***

! Ta2PbW (PBE, optimized geometry); values from VASP
! Space-group type ... Cmmm
! DFT total energy ... -0.719 Ry/atom
! Energy of formation from the pure elements ... 1.2 eV per formula unit
! Total moment ... 0.000 μB/cell
&SYSTEM
  ibrav = 0, nat = 4, ntyp = 3
/
ATOMIC_SPECIES
W 183.84 W.upf
Ta 180.95 Ta.upf
Pb 207.20 Pb.upf
CELL_PARAMETERS angstrom
-0.9737 2.4557 1.4533
0.5805 -2.2925 1.8703
8.7265 2.9344 0.8885
ATOMIC_POSITIONS crystal
W 0.5000 0.5000 0.2500
Ta 0.0000 0.0000 0.0215
Ta 0.0000 0.0000 0.4785
Pb 0.5000 0.5000 0.7500

***

! Na2YCuF6 (PBE, optimized geometry); values from VASP
! Space-group type ... Fm-3m
! DFT total energy ... -0.379 Ry/atom
! Energy above the lowest structure with this stoichiometry ... 197 meV/atom
! Total moment ... 0.154 μB/cell
&SYSTEM
  ibrav = 0, nat = 10, ntyp = 4
/
ATOMIC_SPECIES
Na 22.99 Na.upf
F 19.00 F.upf
Y 88.91 Y.upf
Cu 63.55 Cu.upf
CELL_PARAMETERS angstrom
0.0000 4.3513 4.3513
4.3513 0.0000 4.3513
4.3513 4.3513 0.0000
ATOMIC_POSITIONS crystal
Na 0.2500 0.2500 0.2500
Na 0.7500 0.7500 0.7500
F 0.2488 0.2488 0.7512
F 0.7512 0.7512 0.2488
F 0.7512 0.2488 0.7512
F 0.2488 0.7512 0.7512
F 0.7512 0.2488 0.2488
F 0.2488 0.7512 0.2488
Y 0.0000 0.0000 0.0000
Cu 0.5000 0.5000 0.5000

***

! Tb5PrSm2Th (PBE, optimized geometry); values from VASP
! Space-group type ... Cmc2_1
! DFT total energy ... -0.354 Ry/atom
! Energy of formation from the pure elements ... 1.5 eV per formula unit
! Total moment ... 0.000 μB/cell
&SYSTEM
  ibrav = 0, nat = 18, ntyp = 4
/
ATOMIC_SPECIES
Tb 158.93 Tb.upf
Pr 140.91 Pr.upf
Th 232.04 Th.upf
Sm 150.36 Sm.upf
CELL_PARAMETERS angstrom
-4.0668 2.6533 -2.9463
3.5434 -7.6323 -6.2898
-7.1555 -6.5790 3.9521
ATOMIC_POSITIONS crystal
Tb 0.2975 0.5949 0.7094
Tb 0.7246 0.4493 0.8181
Tb 0.6123 0.2246 0.5247
Tb 0.0165 0.0329 0.0233
Tb 0.3877 0.7754 0.0247
Tb 0.2754 0.5507 0.3181
Tb 0.4782 0.9564 0.7371
Tb 0.9835 0.9671 0.5233
Tb 0.7025 0.4051 0.2094
Tb 0.5218 0.0436 0.2371
Pr 0.4121 0.8241 0.4471
Pr 0.5879 0.1759 0.9471
Th 0.2006 0.4012 0.0149
Th 0.7994 0.5988 0.5149
Sm 0.1161 0.2322 0.7292
Sm 0.1138 0.2276 0.3202
Sm 0.8862 0.7724 0.8202
Sm 0.8839 0.7678 0.2292

***

! Ca3HOs (PBE, optimized geometry); values from VASP
! Space-group type ... Pm-3m
! DFT total energy ... -0.288 Ry/atom
! Energy above the lowest structure with this stoichiometry ... 0 meV/atom
! Total moment ... 0.000 μB/cell
&SYSTEM
  ibrav = 0, nat = 5, ntyp = 3
/
ATOMIC_SPECIES
Ca 40.08 Ca.upf
Os 190.23 Os.upf
H 1.01 H.upf
CELL_PARAMETERS angstrom
-1.1936 2.1875 -3.9315
3.8442 -1.6174 -2.0670
-2.3375 -3.7770 -1.3918
ATOMIC_POSITIONS crystal
Ca 0.5000 0.0000 0.0000
Ca 0.0000 0.0000 0.5000
Ca 0.0000 0.5000 0.0000
Os 0.5000 0.5000 0.5000
H 0.0000 0.0000 0.0000

***

! Sr3NbGa2O8 (PBE, optimized geometry); values from VASP
! Space-group type ... P-3m1
! DFT total energy ... -0.494 Ry/atom
! Total moment ... 1.000 μB/cell
&SYSTEM
  ibrav = 0, nat = 14, ntyp = 4
/
ATOMIC_SPECIES
Ga 69.72 Ga.upf
Nb 92.91 Nb.upf
O 16.00 O.upf
Sr 87.62 Sr.upf
CELL_PARAMETERS angstrom
-3.9826 -0.0732 4.0982
0.2169 -4.2186 -3.8494
4.4865 -3.6877 4.2940
ATOMIC_POSITIONS crystal
Ga 0.6667 0.3333 0.7971
Ga 0.3333 0.6667 0.2029
Nb 0.0000 0.0000 0.5000
O 0.8345 0.1655 0.6741
O 0.6690 0.8345 0.3259
O 0.3310 0.1655 0.6741
O 0.8345 0.6690 0.6741
O 0.1655 0.8345 0.3259
O 0.3333 0.6667 0.9585
O 0.1655 0.3310 0.3259
O 0.6667 0.3333 0.0415
Sr 0.3333 0.6667 0.6445
Sr 0.0000 0.0000 0.0000
Sr 0.6667 0.3333 0.3555

***

! ZrSi2Rh (PBE, optimized geometry); values from VASP
! Space-group type ... Cm
! DFT total energy ... -0.533 Ry/atom
! Total moment ... 0.000 μB/cell
&SYSTEM
  ibrav = 0, nat = 4, ntyp = 3
/
ATOMIC_SPECIES
Zr 91.22 Zr.upf
Si 28.09 Si.upf
Rh 102.91 Rh.upf
CELL_PARAMETERS angstrom
-3.7868 -0.6301 -2.6162
-3.8441 -2.6036 -0.1619
-3.3332 2.7465 2.1307
ATOMIC_POSITIONS crystal
Zr 0.4966 0.4966 0.5275
Si 0.7383 0.7383 0.7951
Si 0.9994 0.9994 0.0137
Rh 0.2656 0.2656 0.1637

***

! Ti2InNiH (PBE, optimized geometry); values from VASP
! Space-group type ... P4/mmm
! DFT total energy ... -0.426 Ry/atom
! Total moment ... 0.003 μB/cell
&SYSTEM
  ibrav = 0, nat = 5, ntyp = 4
/
ATOMIC_SPECIES
Ni 58.69 Ni.upf
In 114.82 In.upf
Ti 47.87 Ti.upf
H 1.01 H.upf
CELL_PARAMETERS angstrom
4.0650 0.0000 0.0000
0.0000 4.0650 0.0000
0.0000 0.0000 4.0121
ATOMIC_POSITIONS crystal
Ni 0.0000 0.0000 0.5000
In 0.5000 0.5000 0.5000
Ti 0.5000 0.0000 0.0000
Ti 0.0000 0.5000 0.0000
H 0.0000 0.0000 0.0000

***

! In2NiP (PBE, optimized geometry); values from VASP
! Space-group type ... I4/mmm
! DFT total energy ... -0.282 Ry/atom
! Energy of formation from the pure elements ... 1.3 eV per formula unit
! Total moment ... 0.000 μB/cell
&SYSTEM
  ibrav = 0, nat = 4, ntyp = 3
/
ATOMIC_SPECIES
Ni 58.69 Ni.upf
P 30.97 P.upf
In 114.82 In.upf
CELL_PARAMETERS angstrom
1.4636 -1.6390 4.5104
-1.4813 3.5188 3.2552
-2.6454 -2.3724 -3.5421
ATOMIC_POSITIONS crystal
Ni 0.5000 0.5000 0.0000
P 0.0000 0.0000 0.0000
In 0.2500 0.7500 0.5000
In 0.7500 0.2500 0.5000

***

! YTcPt2 (PBE, optimized geometry); values from VASP
! Space-group type ... I-42d
! DFT total energy ... -0.527 Ry/atom
! Energy of formation from the pure elements ... 0.2 eV per formula unit
! Energy above the lowest structure with this stoichiometry ... 504 meV/atom
! Total moment ... 0.000 μB/cell
&SYSTEM
  ibrav = 0, nat = 8, ntyp = 3
/
ATOMIC_SPECIES
Pt 195.08 Pt.upf
Tc 98.00 Tc.upf
Y 88.91 Y.upf
CELL_PARAMETERS angstrom
4.8045 0.0000 0.0000
0.0000 4.8045 0.0000
2.4022 2.4022 8.0779
ATOMIC_POSITIONS crystal
Pt 0.3750 0.2773 0.7500
Pt 0.8750 0.9727 0.7500
Pt 0.0273 0.6250 0.2500
Pt 0.7227 0.1250 0.2500
Tc 0.7500 0.2500 0.5000
Tc 0.0000 0.0000 0.0000
Y 0.2500 0.7500 0.5000
Y 0.5000 0.5000 0.0000

***

! CsRb3Sb (PBE, optimized geometry); values from VASP
! Space-group type ... Pm-3m
! DFT total energy ... -0.128 Ry/atom
! Energy above the lowest structure with this stoichiometry ... 67 meV/atom
! Total moment ... 0.001 μB/cell
&SYSTEM
  ibrav = 0, nat = 5, ntyp = 3
/
ATOMIC_SPECIES
Rb 85.47 Rb.upf
Cs 132.91 Cs.upf
Sb 121.76 Sb.upf
CELL_PARAMETERS angstrom
7.2656 0.0000 0.0000
0.0000 7.2656 0.0000
0.0000 0.0000 7.2656
ATOMIC_POSITIONS crystal
Rb 0.0000 0.5000 0.0000
Rb 0.5000 0.0000 0.0000
Rb 0.0000 0.0000 0.5000
Cs 0.5000 0.5000 0.5000
Sb 0.0000 0.0000 0.0000

***

! K2Np3PdS8 (PBE, optimized geometry); values from VASP
! Space-group type ... R3m
! DFT total energy ... -0.498 Ry/atom
! Total moment ... 7.911 μB/cell
&SYSTEM
  ibrav = 0, nat = 14, ntyp = 4
/
ATOMIC_SPECIES
S 32.06 S.upf
Pd 106.42 Pd.upf
K 39.10 K.upf
Np 237.00 Np.upf
CELL_PARAMETERS angstrom
-4.5075 -6.2202 1.0121
2.1835 -5.6152 4.8718
-4.5373 -0.2514 7.9050
ATOMIC_POSITIONS crystal
S 0.7103 0.2197 0.8503
S 0.2197 0.7103 0.8503
S 0.2197 0.2197 0.8503
S 0.2626 0.2626 0.2121
S 0.7595 0.7595 0.2168
S 0.7595 0.2643 0.2168
S 0.2643 0.7595 0.2168
S 0.7183 0.7183 0.8452
Pd 0.9852 0.9852 0.0444
K 0.4894 0.4894 0.5317
K 0.1368 0.1368 0.5897
Np 0.9859 0.4908 0.0325
Np 0.4908 0.4908 0.0325
Np 0.4908 0.9859 0.0325

***

! Dy2Al4CdAu3 (PBE, optimized geometry); values from VASP
! Space-group type ... P-4m2
! DFT total energy ... -0.301 Ry/atom
! Energy of formation from the pure elements ... -6.1 eV per formula unit
! Total moment ... 0.000 μB/cell
&SYSTEM
  ibrav = 0, nat = 10, ntyp = 4
/
ATOMIC_SPECIES
Dy 162.50 Dy.upf
Al 26.98 Al.upf
Cd 112.41 Cd.upf
Au 196.97 Au.upf
CELL_PARAMETERS angstrom
4.2806 0.0000 0.0000
0.0000 4.2806 0.0000
0.0000 0.0000 11.0111
ATOMIC_POSITIONS crystal
Dy 0.0000 0.5000 0.7535
Dy 0.5000 0.0000 0.2465
Al 0.5000 0.5000 0.0000
Al 0.0000 0.5000 0.3558
Al 0.0000 0.0000 0.0000
Al 0.5000 0.0000 0.6442
Cd 0.5000 0.5000 0.5000
Au 0.0000 0.0000 0.5000
Au 0.0000 0.5000 0.1322
Au 0.5000 0.0000 0.8678

***

! Ca3CdSn12 (PBE, optimized geometry); values from VASP
! Space-group type ... P4/mmm
! DFT total energy ... -0.271 Ry/atom
! Energy of formation from the pure elements ... -4.1 eV per formula unit
! Total moment ... 0.000 μB/cell
&SYSTEM
  ibrav = 0, nat = 16, ntyp = 3
/
ATOMIC_SPECIES
Sn 118.71 Sn.upf
Ca 40.08 Ca.upf
Cd 112.41 Cd.upf
CELL_PARAMETERS angstrom
-4.3070 -1.9142 0.3179
1.6434 -3.1870 3.0753
-4.2352 11.9651 14.6631
ATOMIC_POSITIONS crystal
Sn 0.0000 0.5000 0.1244
Sn 0.5000 0.0000 0.6242
Sn 0.0000 0.5000 0.6242
Sn 0.5000 0.0000 0.1244
Sn 0.5000 0.5000 0.5000
Sn 0.0000 0.5000 0.3758
Sn 0.5000 0.0000 0.3758
Sn 0.5000 0.0000 0.8756
Sn 0.5000 0.5000 0.2486
Sn 0.5000 0.5000 0.0000
Sn 0.5000 0.5000 0.7514
Sn 0.0000 0.5000 0.8756
Ca 0.0000 0.0000 0.2552
Ca 0.0000 0.0000 0.7448
Ca 0.0000 0.0000 0.5000
Cd 0.0000 0.0000 0.0000

***

! Ac6SiSe12 (PBE, optimized geometry); values from VASP
! Space-group type ... R-3
! DFT total energy ... -0.391 Ry/atom
! Total moment ... 0.003 μB/cell
&SYSTEM
  ibrav = 0, nat = 19, ntyp = 3
/
ATOMIC_SPECIES
Se 78.96 Se.upf
Si 28.09 Si.upf
Ac 227.00 Ac.upf
CELL_PARAMETERS angstrom
8.6338 0.0001 0.0001
-1.3088 8.5340 0.0001
-1.3088 -1.5248 8.3967
ATOMIC_POSITIONS crystal
Se 0.8207 0.5520 0.4177
Se 0.9437 0.0224 0.7069
Se 0.0224 0.7069 0.9437
Se 0.7069 0.9437 0.0224
Se 0.1793 0.4480 0.5823
Se 0.4177 0.8207 0.5520
Se 0.2931 0.0563 0.9776
Se 0.5823 0.1793 0.4480
Se 0.0563 0.9776 0.2931
Se 0.4480 0.5823 0.1793
Se 0.9776 0.2931 0.0563
Se 0.5520 0.4177 0.8207
Si 0.0000 0.0000 0.0000
Ac 0.6250 0.2882 0.1341
Ac 0.8659 0.3750 0.7118
Ac 0.7118 0.8659 0.3750
Ac 0.2882 0.1341 0.6250
Ac 0.1341 0.6250 0.2882
Ac 0.3750 0.7118 0.8659